No. 1
# PrNiHgPd

An optimized crystal structure of PrNiHgPd (PBE, Alexandria).

Computed properties:
* total moment: 0.00 μB per cell
* total DFT energy (no corrections): -17.41 eV per cell
* symmetry: F-43m

```
PrNiHgPd
1.0
4.838 0.000 0.000
2.419 4.190 0.000
2.419 1.397 3.950
Pr Ni Hg Pd
1 1 1 1
Cartesian
7.257 4.190 2.963 Pr
0.000 0.000 0.000 Ni
2.419 1.397 0.988 Hg
4.838 2.793 1.975 Pd
```

---

No. 2
# ScNiHgPd

An optimized crystal structure of ScNiHgPd (PBE, Alexandria).

Computed properties:
* total moment: 0.00 μB per cell
* total DFT energy (no corrections): -19.34 eV per cell
* symmetry: F-43m

```
ScNiHgPd
1.0
4.567 0.000 0.000
2.283 3.955 0.000
2.283 1.318 3.729
Sc Ni Hg Pd
1 1 1 1
Cartesian
2.283 1.318 0.932 Sc
0.000 0.000 0.000 Ni
6.850 3.955 2.796 Hg
4.567 2.636 1.864 Pd
```

---

No. 3
# NiSnHgPd

An optimized crystal structure of NiSnHgPd (PBE, Alexandria).

Computed properties:
* total moment: 0.00 μB per cell
* total DFT energy (no corrections): -15.65 eV per cell
* symmetry: F-43m

```
NiSnHgPd
1.0
-0.350 4.301 -1.627
-2.976 0.947 -3.393
-3.777 2.496 0.876
Ni Hg Pd Sn
1 1 1 1
Cartesian
0.000 0.000 0.000 Ni
-5.327 5.808 -3.108 Hg
-3.551 3.872 -2.072 Pd
-1.776 1.936 -1.036 Sn
```

---

No. 4
# TbNiHgPd

An optimized crystal structure of TbNiHgPd (PBE, Alexandria).

Computed properties:
* total moment: 0.00 μB per cell
* total DFT energy (no corrections): -17.64 eV per cell
* symmetry: F-43m

```
TbNiHgPd
1.0
4.725 0.000 0.000
2.362 4.092 0.000
2.362 1.364 3.858
Ni Tb Hg Pd
1 1 1 1
Cartesian
7.087 4.092 2.893 Ni
0.000 0.000 0.000 Tb
4.725 2.728 1.929 Hg
2.362 1.364 0.964 Pd
```